# 1
{"formula": "CuMoOs2", "functional": "GGA-PBEsol", "state": "relaxed", "cell": [[1.4083, -2.2209, 0.0000], [1.4083, 2.2209, 0.0000], [0.0000, 0.0000, 9.0176]], "species": ["Cu", "Mo", "Os", "Os"], "frac_coords": [[0.0000, 0.0000, 0.0000], [0.5000, 0.5000, 0.7515], [0.0000, 0.0000, 0.5001], [0.5000, 0.5000, 0.2457]], "volume_a3_per_cell": 56.41, "spacegroup": "No. 35", "m_tot_mub_per_atom": 0.00, "e_form_ev_per_atom": 0.53}

---

# 2
{"formula": "CuMo2OsRh", "functional": "GGA-PBEsol", "state": "relaxed", "cell": [[4.5785, 0.0000, 0.0000], [0.0000, 4.5785, 0.0000], [0.0000, 0.0000, 4.6126]], "species": ["Cu", "Mo", "Mo", "Os", "Rh"], "frac_coords": [[0.0000, 0.0000, 0.0000], [0.0000, 0.5000, 0.5000], [0.5000, 0.0000, 0.5000], [0.5000, 0.5000, 0.0000], [0.5000, 0.5000, 0.5000]], "volume_a3_per_cell": 96.69, "spacegroup": "No. 123", "m_tot_mub_per_atom": 0.00, "e_form_ev_per_atom": 2.15}

---

# 3
{"formula": "ScCu2MoOs", "functional": "GGA-PBEsol", "state": "relaxed", "cell": [[4.3143, 0.0000, 0.0000], [0.0000, 4.3143, 0.0000], [0.0000, 0.0000, 4.4485]], "species": ["Sc", "Cu", "Cu", "Mo", "Os"], "frac_coords": [[0.0000, 0.0000, 0.0000], [0.0000, 0.5000, 0.0000], [0.5000, 0.0000, 0.0000], [0.0000, 0.0000, 0.5000], [0.5000, 0.5000, 0.5000]], "volume_a3_per_cell": 82.80, "spacegroup": "No. 123", "m_tot_mub_per_atom": 0.00, "e_form_ev_per_atom": 2.04}

---

# 4
{"formula": "CuMo2P", "functional": "GGA-PBEsol", "state": "relaxed", "cell": [[3.2102, 0.0000, 0.0000], [0.0000, 3.2102, 0.0000], [0.0000, 0.0000, 5.2487]], "species": ["Cu", "Mo", "Mo", "P"], "frac_coords": [[0.0000, 0.0000, 0.0000], [0.0000, 0.0000, 0.5097], [0.5000, 0.5000, 0.2317], [0.5000, 0.5000, 0.7531]], "volume_a3_per_cell": 54.09, "spacegroup": "No. 99", "m_tot_mub_per_atom": 0.00, "e_form_ev_per_atom": -0.02}